Here is ScTiZn2Rh at its PBEsol-relaxed geometry from Alexandria via LeMat-Bulk. Energies are from meta-GGA SCAN.

POSCAR file:
```
ScTiZn2Rh
1.0
4.342 0.000 0.000
0.000 4.745 0.000
0.000 0.000 4.745
Zn Rh Sc Ti
2 1 1 1
Direct
0.000 0.000 0.500
0.000 0.500 0.000
0.500 0.000 0.000
0.500 0.500 0.500
0.000 0.000 0.000
```

Properties
Final energy: -17.8974 eV per atom
Formation energy from the elements: 153 kJ/mol of formula units
Density of states at the Fermi level: 0.8067 states/eV/atom
Crystal system: tetragonal
Space group: P4/mmm, No. 123